A plane-wave DFT calculation with PBE with a Hubbard U was carried out for crystalline Ca2SmYMn4O12 at its relaxed geometry.

Calculated values
**ρ**: 5.34 g cm⁻³
**Raw total energy**: -7.578 eV/atom

Cell: 7.6019 5.3823 5.5562 Å, 89.83 90.00 90.00°
Closest atoms and distances in Å follow each position.
Fractional coordinates of all 20 atoms:
O1 0.0000 0.6005 0.9753  2 Mn 1.97
O2 0.1998 0.2003 0.8003  2 Mn 1.99-2.01
O3 0.2032 0.2909 0.2896  2 Mn 1.99-2.01
O4 0.7058 0.7919 0.2084  2 Mn 1.99-2.02
O5 0.7056 0.7013 0.7024  2 Mn 1.98-1.99
O6 0.5000 0.4162 0.0236  2 Mn 1.97
O7 0.2944 0.7013 0.7024  2 Mn 1.98-1.99
O8 0.7968 0.2909 0.2896  2 Mn 1.99-2.01
O9 0.2942 0.7919 0.2084  2 Mn 1.99-2.02
O10 0.5000 0.0890 0.5255  2 Mn 1.97
O11 0.0000 0.9148 0.4673  2 Mn 1.96
O12 0.8002 0.2003 0.8003  2 Mn 1.99-2.01
Mn1 0.2487 0.5011 0.9966  6 O 1.97-2.01
Mn2 0.2486 0.0001 0.5040  6 O 1.96-2.02
Mn3 0.7514 0.0001 0.5040  6 O 1.96-2.02
Mn4 0.7513 0.5011 0.9966  6 O 1.97-2.01
Sm1 0.5000 0.5143 0.4427  6 O 2.33-2.52
Y1 0.0000 0.0159 0.0614  6 O 2.29-2.49
Ca1 0.5000 0.9892 0.9494  6 O 2.34-2.60
Ca2 0.0000 0.4891 0.5522  6 O 2.34-2.57